Computed, not measured: a relaxed Mn2TeO crystal at the GGA+U level of DFT.

Cell: 6.595 6.595 6.595 Å, 32.27 32.27 32.27°
Atoms (fractional coordinates):
Mn  0.229  0.229  0.229
Mn  0.771  0.771  0.771
Te  0.000  0.000  0.000
O  0.500  0.500  0.500

M_tot ... 9.900 μB per formula unit
Raw total energy ... -6.38 eV/atom
Space group ... No. 166